Material: Tb2PmMoO8
Method: DFT, GGA+U
State: optimized geometry

Results
**Total energy**: -7.704 eV/atom
**Space-group type**: P2/m, No. 10

Geometry as CIF:
```
data_Tb2PmMoO8
_cell_length_a 5.0869
_cell_length_b 6.9307
_cell_length_c 5.0872
_cell_angle_alpha 90.00
_cell_angle_beta 90.43
_cell_angle_gamma 90.00
_space_group_name_H-M_alt 'P 1'
_space_group_IT_number 1
loop_
_space_group_symop_operation_xyz
'x,y,z'
loop_
_atom_site_label
_atom_site_type_symbol
_atom_site_fract_x
_atom_site_fract_y
_atom_site_fract_z
Tb1 Tb 0.0000 0.2453 0.0000
Tb2 Tb 0.0000 0.7547 0.0000
Pm1 Pm 0.5000 0.5000 0.5000
Mo1 Mo 0.5000 0.0000 0.5000
O1 O 0.1869 0.5000 0.1856
O2 O 0.2272 0.0000 0.2261
O3 O 0.3162 0.2065 0.6828
O4 O 0.3162 0.7935 0.6828
O5 O 0.6838 0.2065 0.3172
O6 O 0.6838 0.7935 0.3172
O7 O 0.7728 0.0000 0.7739
O8 O 0.8131 0.5000 0.8144
```